[1]
Crystalline NdGdMo2C3 at its relaxed geometry, computed with PBE.

a b c (Å): 5.951 5.951 5.817
angles (deg): 105.63 105.63 33.70
Atoms (fractional coordinates):
C: 0.724 0.724 0.765
C: 0.002 0.002 0.007
C: 0.273 0.273 0.232
Gd: 0.612 0.612 0.322
Mo: 0.152 0.152 0.882
Mo: 0.848 0.848 0.118
Nd: 0.390 0.390 0.673

Results
- Space-group type: Cm, No. 8
- Volume: 15.67 A^3/atom
- E_tot: -8.639 eV/atom

***

[2]
Crystalline NaAlPtPb at its relaxed geometry, computed with PBE.

a b c (Å): 4.791 4.791 4.791
angles (deg): 60.00 60.00 60.00
Atoms (fractional coordinates):
Pb: 0.000 0.000 0.000
Na: 0.750 0.750 0.750
Al: 0.500 0.500 0.500
Pt: 0.250 0.250 0.250

Results
- Space-group type: F-43m, No. 216
- Volume: 19.44 A^3/atom
- E_tot: -3.859 eV/atom
- Offset from the most stable computed form: 0 meV/atom

***

[3]
Crystalline Zn2Ir at its relaxed geometry, computed with PBE.

a b c (Å): 13.411 2.957 4.221
angles (deg): 90.00 90.00 90.00
Atoms (fractional coordinates):
Zn: 0.283 0.000 0.000
Zn: 0.993 0.500 0.500
Zn: 0.161 0.000 0.500
Zn: 0.783 0.500 0.000
Zn: 0.452 0.500 0.000
Zn: 0.493 0.000 0.500
Zn: 0.952 0.000 0.000
Zn: 0.661 0.500 0.500
Ir: 0.615 0.000 0.000
Ir: 0.829 0.000 0.500
Ir: 0.329 0.500 0.500
Ir: 0.115 0.500 0.000

Results
- Space-group type: Cmcm, No. 63
- Volume: 13.95 A^3/atom
- Formation energy: -0.24 eV per atom
- E_tot: -4.032 eV/atom

***

[4]
Crystalline NiMoAsOs at its relaxed geometry, computed with PBE.

a b c (Å): 4.323 4.323 4.323
angles (deg): 60.00 60.00 60.00
Atoms (fractional coordinates):
Ni: 0.750 0.750 0.750
Os: 0.500 0.500 0.500
As: 0.000 0.000 0.000
Mo: 0.250 0.250 0.250

Results
- Space-group type: F-43m, No. 216
- Volume: 14.28 A^3/atom
- E_tot: -7.776 eV/atom